Na3VO4 PBE+U relaxed; symmetry = No. 61; total energy = -372.0 eV/cell; magnetization = 0.0 Bohr magnetons per cell
1.0
8.9395 0.0000 0.0000
0.0000 10.7570 0.0000
0.0000 0.0000 9.8957
Na V O
24 8 32
Cartesian
0.2224 1.0758 1.1286
0.2224 4.3027 6.0764
1.3442 6.9921 0.3610
1.3442 9.1434 5.3088
1.5673 1.2431 6.9784
1.5673 4.1354 2.0306
2.9024 6.6217 6.9784
2.9024 9.5139 2.0306
3.1256 1.6136 0.3610
3.1256 3.7649 5.3088
4.2474 6.4543 1.1286
4.2474 9.6812 6.0764
4.6921 1.0758 3.8193
4.6921 4.3027 8.7671
5.8139 6.9921 4.5869
5.8139 9.1434 9.5347
6.0371 1.2431 7.8651
6.0371 4.1354 2.9172
7.3721 6.6217 7.8651
7.3721 9.5139 2.9172
7.5953 1.6136 4.5869
7.5953 3.7649 9.5347
8.7171 6.4543 3.8193
8.7171 9.6812 8.7671
1.5984 1.2106 3.9070
1.5984 4.1680 8.8549
2.8713 6.5891 3.9070
2.8713 9.5465 8.8549
6.0681 1.2106 1.0408
6.0681 4.1680 5.9886
7.3411 6.5891 1.0408
7.3411 9.5465 5.9886
0.4089 0.1146 3.2637
0.4089 5.2639 8.2115
0.8569 2.4184 4.9252
0.8569 2.9601 9.8731
1.7386 5.6760 4.8925
1.7386 10.4596 9.8403
2.0264 7.3825 2.6105
2.0264 8.7530 7.5583
2.4433 2.0040 2.6105
2.4433 3.3745 7.5583
2.7311 0.2975 4.8925
2.7311 5.0810 9.8403
3.6128 7.7969 4.9252
3.6128 8.3386 9.8731
4.0608 5.4931 3.2637
4.0608 10.6424 8.2115
4.8786 0.1146 1.6842
4.8786 5.2639 6.6320
5.3267 2.4184 0.0226
5.3267 2.9601 4.9705
6.2084 5.6760 0.0553
6.2084 10.4596 5.0032
6.4962 7.3825 2.3373
6.4962 8.7530 7.2852
6.9130 2.0040 2.3373
6.9130 3.3745 7.2852
7.2008 0.2975 0.0553
7.2008 5.0810 5.0032
8.0825 7.7969 0.0226
8.0825 8.3386 4.9705
8.5305 5.4931 1.6842
8.5305 10.6424 6.6320